Record 1
This record from the Alexandria database describes a relaxed MnSNO2 crystal. The functional is GGA+U.

The structure in POSCAR format:
```
MnSNO2
1.0
3.834 0.000 0.000
0.000 3.834 0.000
0.000 0.000 3.424
Mn S N O
1 1 1 2
Cartesian
0.000 0.000 0.000
1.917 1.917 1.712
1.917 1.917 0.000
0.000 1.917 1.712
1.917 0.000 1.712
```

Output
For the theoretical density, the calculation gives 4.39 g cm⁻³. As for the symmetry: P4/mmm, No. 123. Its total energy is -5.75 eV/atom.

Record 2
This record from the Alexandria database describes a relaxed MnSN2O crystal. The functional is GGA+U.

The structure in POSCAR format:
```
MnSN2O
1.0
3.580 0.000 0.000
0.000 3.580 0.000
0.000 0.000 4.109
Mn S N O
1 1 2 1
Cartesian
0.000 0.000 0.000
1.790 1.790 2.054
0.000 1.790 0.000
1.790 0.000 0.000
0.000 0.000 2.054
```

Output
For the theoretical density, the calculation gives 4.13 g cm⁻³. As for the symmetry: P4/mmm, No. 123. Its total energy is -5.09 eV/atom.

Record 3
This record from the Alexandria database describes a relaxed MnSbN2O crystal. The functional is GGA+U.

The structure in POSCAR format:
```
MnSbN2O
1.0
3.899 0.000 0.000
0.000 3.899 0.000
0.000 0.000 3.778
Mn Sb N O
1 1 2 1
Cartesian
0.000 0.000 0.000
1.950 1.950 1.889
0.000 1.950 0.000
1.950 0.000 0.000
0.000 0.000 1.889
```

Output
For the theoretical density, the calculation gives 6.38 g cm⁻³. As for the symmetry: P4/mmm, No. 123. Its total energy is -6.17 eV/atom.

Record 4
This record from the Alexandria database describes a relaxed MnSbNO2 crystal. The functional is GGA+U.

The structure in POSCAR format:
```
MnSbNO2
1.0
3.759 0.000 0.000
0.000 3.759 0.000
0.000 0.000 4.076
Mn Sb N O
1 1 1 2
Cartesian
0.000 0.000 0.000
1.880 1.880 2.038
0.000 0.000 2.038
0.000 1.880 0.000
1.880 0.000 0.000
```

Output
For the theoretical density, the calculation gives 6.42 g cm⁻³. As for the symmetry: P4/mmm, No. 123. Its total energy is -6.28 eV/atom.

Record 5
This record from the Alexandria database describes a relaxed MnSbNO2 crystal. The functional is GGA+U.

The structure in POSCAR format:
```
MnSbNO2
1.0
3.958 0.000 0.000
0.000 3.958 0.000
0.000 0.000 4.033
Mn Sb N O
1 1 1 2
Cartesian
0.000 0.000 0.000
1.979 1.979 2.016
1.979 1.979 0.000
0.000 1.979 2.016
1.979 0.000 2.016
```

Output
For the theoretical density, the calculation gives 5.85 g cm⁻³. As for the symmetry: P4/mmm, No. 123. Its total energy is -6.34 eV/atom.

Record 6
This record from the Alexandria database describes a relaxed MnSbN2O crystal. The functional is GGA+U.

The structure in POSCAR format:
```
MnSbN2O
1.0
4.023 0.000 0.000
0.000 4.023 0.000
0.000 0.000 3.987
Mn Sb N O
1 1 2 1
Cartesian
0.000 0.000 0.000
2.011 2.011 1.993
0.000 2.011 1.993
2.011 0.000 1.993
2.011 2.011 0.000
```

Output
For the theoretical density, the calculation gives 5.68 g cm⁻³. As for the symmetry: P4/mmm, No. 123. Its total energy is -6.17 eV/atom.

Record 7
This record from the Alexandria database describes a relaxed MnSeN2O crystal. The functional is GGA+U.

The structure in POSCAR format:
```
MnSeN2O
1.0
3.561 0.000 0.000
0.000 3.561 0.000
0.000 0.000 5.461
Mn Se N O
1 1 2 1
Cartesian
0.000 0.000 0.000
0.000 0.000 2.731
0.000 1.780 0.000
1.780 0.000 0.000
1.780 1.780 2.731
```

Output
For the theoretical density, the calculation gives 4.27 g cm⁻³. As for the symmetry: P4/mmm, No. 123. Its total energy is -5.27 eV/atom.

Record 8
This record from the Alexandria database describes a relaxed MnSeN2O crystal. The functional is GGA+U.

The structure in POSCAR format:
```
MnSeN2O
1.0
3.840 0.000 0.000
0.000 3.840 0.000
0.000 0.000 3.895
Mn Se N O
1 1 2 1
Cartesian
0.000 0.000 0.000
1.920 1.920 0.000
0.000 1.920 1.948
1.920 0.000 1.948
1.920 1.920 1.948
```

Output
For the theoretical density, the calculation gives 5.14 g cm⁻³. As for the symmetry: P4/mmm, No. 123. Its total energy is -4.16 eV/atom.

Record 9
This record from the Alexandria database describes a relaxed MnSeN2O crystal. The functional is GGA+U.

The structure in POSCAR format:
```
MnSeN2O
1.0
3.781 0.000 0.000
0.000 3.781 0.000
0.000 0.000 3.920
Mn Se N O
1 1 2 1
Cartesian
0.000 0.000 0.000
1.891 1.891 1.960
0.000 1.891 1.960
1.891 0.000 1.960
1.891 1.891 0.000
```

Output
For the theoretical density, the calculation gives 5.27 g cm⁻³. As for the symmetry: P4/mmm, No. 123. Its total energy is -5.59 eV/atom.

Record 10
This record from the Alexandria database describes a relaxed MnSeN2O crystal. The functional is GGA+U.

The structure in POSCAR format:
```
MnSeN2O
1.0
3.928 0.000 0.000
0.000 3.928 0.000
0.000 0.000 3.449
Mn Se N O
1 1 2 1
Cartesian
0.000 0.000 0.000
1.964 1.964 1.724
0.000 1.964 0.000
1.964 0.000 0.000
0.000 0.000 1.724
```

Output
For the theoretical density, the calculation gives 5.55 g cm⁻³. As for the symmetry: P4/mmm, No. 123. Its total energy is -5.19 eV/atom.

Record 11
This record from the Alexandria database describes a relaxed MnSiN2O crystal. The functional is GGA+U.

The structure in POSCAR format:
```
MnSiN2O
1.0
3.793 0.000 0.000
0.000 3.793 0.000
0.000 0.000 3.850
Mn Si N O
1 1 2 1
Cartesian
0.000 0.000 0.000
1.896 1.896 1.925
0.000 1.896 0.000
1.896 0.000 0.000
0.000 0.000 1.925
```

Output
For the theoretical density, the calculation gives 3.81 g cm⁻³. As for the symmetry: P4/mmm, No. 123. Its total energy is -6.08 eV/atom.

Record 12
This record from the Alexandria database describes a relaxed MnSiN2O crystal. The functional is GGA+U.

The structure in POSCAR format:
```
MnSiN2O
1.0
3.628 0.000 0.000
0.000 3.628 0.000
0.000 0.000 3.583
Mn Si N O
1 1 2 1
Cartesian
0.000 0.000 0.000
1.814 1.814 1.792
0.000 1.814 1.792
1.814 0.000 1.792
1.814 1.814 0.000
```

Output
For the theoretical density, the calculation gives 4.47 g cm⁻³. As for the symmetry: P4/mmm, No. 123. Its total energy is -7.21 eV/atom.

Record 13
This record from the Alexandria database describes a relaxed MnSnNO2 crystal. The functional is GGA+U.

The structure in POSCAR format:
```
MnSnNO2
1.0
3.944 0.000 0.000
0.000 3.944 0.000
0.000 0.000 3.931
Mn Sn N O
1 1 1 2
Cartesian
0.000 0.000 0.000
1.972 1.972 1.965
0.000 0.000 1.965
0.000 1.972 0.000
1.972 0.000 0.000
```

Output
For the theoretical density, the calculation gives 5.96 g cm⁻³. As for the symmetry: P4/mmm, No. 123. Its total energy is -6.28 eV/atom.

Record 14
This record from the Alexandria database describes a relaxed MnSnNO2 crystal. The functional is GGA+U.

The structure in POSCAR format:
```
MnSnNO2
1.0
4.058 0.000 0.000
0.000 4.058 0.000
0.000 0.000 4.159
Mn Sn N O
1 1 1 2
Cartesian
0.000 0.000 0.000
2.029 2.029 2.079
2.029 2.029 0.000
0.000 2.029 2.079
2.029 0.000 2.079
```

Output
For the theoretical density, the calculation gives 5.33 g cm⁻³. As for the symmetry: P4/mmm, No. 123. Its total energy is -6.19 eV/atom.

Record 15
This record from the Alexandria database describes a relaxed SrMnNO2 crystal. The functional is GGA+U.

The structure in POSCAR format:
```
SrMnNO2
1.0
4.027 0.000 0.000
0.000 4.027 0.000
0.000 0.000 3.780
Sr Mn N O
1 1 1 2
Cartesian
0.000 0.000 0.000
2.014 2.014 1.890
2.014 2.014 0.000
0.000 2.014 1.890
2.014 0.000 1.890
```

Output
For the theoretical density, the calculation gives 5.11 g cm⁻³. As for the symmetry: P4/mmm, No. 123. Its total energy is -6.67 eV/atom.

Record 16
This record from the Alexandria database describes a relaxed SrMnNO2 crystal. The functional is GGA+U.

The structure in POSCAR format:
```
SrMnNO2
1.0
4.568 0.000 0.000
0.000 4.568 0.000
0.000 0.000 4.753
Sr Mn N O
1 1 1 2
Cartesian
0.000 0.000 0.000
2.284 2.284 2.377
0.000 0.000 2.377
0.000 2.284 0.000
2.284 0.000 0.000
```

Output
For the theoretical density, the calculation gives 3.16 g cm⁻³. As for the symmetry: P4/mmm, No. 123. Its total energy is -4.39 eV/atom.

Record 17
This record from the Alexandria database describes a relaxed TaMn2NO crystal. The functional is GGA+U.

The structure in POSCAR format:
```
TaMn2NO
1.0
5.337 0.000 0.000
0.000 5.337 0.000
0.000 0.000 3.816
Ta Mn N O
1 2 1 1
Cartesian
0.000 0.000 0.000
0.000 2.668 0.000
2.668 0.000 0.000
2.668 2.668 1.908
0.000 0.000 1.908
```

Output
For the theoretical density, the calculation gives 4.90 g cm⁻³. As for the symmetry: P4/mmm, No. 123. Its total energy is -6.94 eV/atom.

Record 18
This record from the Alexandria database describes a relaxed MnTe2NO crystal. The functional is GGA+U.

The structure in POSCAR format:
```
MnTe2NO
1.0
5.356 0.000 0.000
0.000 5.356 0.000
0.000 0.000 3.494
Mn Te N O
1 2 1 1
Cartesian
0.000 0.000 0.000
0.000 2.678 0.000
2.678 0.000 0.000
0.000 0.000 1.747
2.678 2.678 1.747
```

Output
For the theoretical density, the calculation gives 5.63 g cm⁻³. As for the symmetry: P4/mmm, No. 123. Its total energy is -4.51 eV/atom. The energy above the lowest structure with this stoichiometry is 0 meV/atom.

Record 19
This record from the Alexandria database describes a relaxed MnTeN2O crystal. The functional is GGA+U.

The structure in POSCAR format:
```
MnTeN2O
1.0
3.576 0.000 0.000
0.000 3.576 0.000
0.000 0.000 5.910
Mn Te N O
1 1 2 1
Cartesian
0.000 0.000 0.000
0.000 0.000 2.955
0.000 1.788 0.000
1.788 0.000 0.000
1.788 1.788 2.955
```

Output
For the theoretical density, the calculation gives 4.98 g cm⁻³. As for the symmetry: P4/mmm, No. 123. Its total energy is -5.46 eV/atom.

Record 20
This record from the Alexandria database describes a relaxed MnTe2NO crystal. The functional is GGA+U.

The structure in POSCAR format:
```
MnTe2NO
1.0
4.751 0.000 0.000
0.000 4.751 0.000
0.000 0.000 4.071
Mn Te N O
1 2 1 1
Cartesian
0.000 0.000 0.000
0.000 2.375 2.035
2.375 0.000 2.035
2.375 2.375 0.000
2.375 2.375 2.035
```

Output
For the theoretical density, the calculation gives 6.15 g cm⁻³. As for the symmetry: P4/mmm, No. 123. Its total energy is -4.43 eV/atom. The energy above the lowest structure with this stoichiometry is 86 meV/atom.

Record 21
This record from the Alexandria database describes a relaxed MnTeN2O crystal. The functional is GGA+U.

The structure in POSCAR format:
```
MnTeN2O
1.0
3.987 0.000 0.000
0.000 3.987 0.000
0.000 0.000 3.966
Mn Te N O
1 1 2 1
Cartesian
0.000 0.000 0.000
1.993 1.993 1.983
0.000 1.993 1.983
1.993 0.000 1.983
1.993 1.993 0.000
```

Output
For the theoretical density, the calculation gives 5.97 g cm⁻³. As for the symmetry: P4/mmm, No. 123. Its total energy is -5.81 eV/atom.

Record 22
This record from the Alexandria database describes a relaxed MnTeN2O crystal. The functional is GGA+U.

The structure in POSCAR format:
```
MnTeN2O
1.0
3.900 0.000 0.000
0.000 3.900 0.000
0.000 0.000 4.086
Mn Te N O
1 1 2 1
Cartesian
0.000 0.000 0.000
1.950 1.950 0.000
0.000 1.950 2.043
1.950 0.000 2.043
1.950 1.950 2.043
```

Output
For the theoretical density, the calculation gives 6.05 g cm⁻³. As for the symmetry: P4/mmm, No. 123. Its total energy is -4.06 eV/atom.

Record 23
This record from the Alexandria database describes a relaxed MnTeN2O crystal. The functional is GGA+U.

The structure in POSCAR format:
```
MnTeN2O
1.0
3.945 0.000 0.000
0.000 3.945 0.000
0.000 0.000 3.690
Mn Te N O
1 1 2 1
Cartesian
0.000 0.000 0.000
1.972 1.972 1.845
0.000 1.972 0.000
1.972 0.000 0.000
0.000 0.000 1.845
```

Output
For the theoretical density, the calculation gives 6.55 g cm⁻³. As for the symmetry: P4/mmm, No. 123. Its total energy is -5.78 eV/atom.

Record 24
This record from the Alexandria database describes a relaxed TiMnN2O crystal. The functional is GGA+U.

The structure in POSCAR format:
```
TiMnN2O
1.0
3.962 0.000 0.000
0.000 3.962 0.000
0.000 0.000 3.841
Ti Mn N O
1 1 2 1
Cartesian
0.000 0.000 0.000
1.981 1.981 1.920
0.000 1.981 0.000
1.981 0.000 0.000
0.000 0.000 1.920
```

Output
For the theoretical density, the calculation gives 4.04 g cm⁻³. As for the symmetry: P4/mmm, No. 123. Its total energy is -7.80 eV/atom.

Record 25
This record from the Alexandria database describes a relaxed TiMnN2O crystal. The functional is GGA+U.

The structure in POSCAR format:
```
TiMnN2O
1.0
3.751 0.000 0.000
0.000 3.751 0.000
0.000 0.000 3.628
Ti Mn N O
1 1 2 1
Cartesian
0.000 0.000 0.000
1.875 1.875 1.814
0.000 1.875 1.814
1.875 0.000 1.814
1.875 1.875 0.000
```

Output
For the theoretical density, the calculation gives 4.78 g cm⁻³. As for the symmetry: P4/mmm, No. 123. Its total energy is -7.42 eV/atom.

Record 26
This record from the Alexandria database describes a relaxed MnTlNO2 crystal. The functional is GGA+U.

The structure in POSCAR format:
```
MnTlNO2
1.0
4.272 0.000 0.000
0.000 4.272 0.000
0.000 0.000 4.225
Mn Tl N O
1 1 1 2
Cartesian
0.000 0.000 0.000
2.136 2.136 2.112
2.136 2.136 0.000
0.000 2.136 2.112
2.136 0.000 2.112
```

Output
For the theoretical density, the calculation gives 6.57 g cm⁻³. As for the symmetry: P4/mmm, No. 123. Its total energy is -4.92 eV/atom.

Record 27
This record from the Alexandria database describes a relaxed MnTlNO2 crystal. The functional is GGA+U.

The structure in POSCAR format:
```
MnTlNO2
1.0
3.957 0.000 0.000
0.000 3.957 0.000
0.000 0.000 3.879
Mn Tl N O
1 1 1 2
Cartesian
0.000 0.000 0.000
1.979 1.979 1.940
0.000 0.000 1.940
0.000 1.979 0.000
1.979 0.000 0.000
```

Output
For the theoretical density, the calculation gives 8.35 g cm⁻³. As for the symmetry: P4/mmm, No. 123. Its total energy is -5.72 eV/atom.

Record 28
This record from the Alexandria database describes a relaxed MnVNO2 crystal. The functional is GGA+U.

The structure in POSCAR format:
```
MnVNO2
1.0
4.260 0.000 0.000
0.000 4.260 0.000
0.000 0.000 3.558
Mn V N O
1 1 1 2
Cartesian
0.000 0.000 0.000
2.130 2.130 0.000
2.130 2.130 1.779
0.000 2.130 1.779
2.130 0.000 1.779
```

Output
For the theoretical density, the calculation gives 3.91 g cm⁻³. As for the symmetry: P4/mmm, No. 123. Its total energy is -6.00 eV/atom.

Record 29
This record from the Alexandria database describes a relaxed MnVNO2 crystal. The functional is GGA+U.

The structure in POSCAR format:
```
MnVNO2
1.0
3.701 0.000 0.000
0.000 3.701 0.000
0.000 0.000 3.815
Mn V N O
1 1 1 2
Cartesian
0.000 0.000 0.000
1.851 1.851 1.907
0.000 0.000 1.907
0.000 1.851 0.000
1.851 0.000 0.000
```

Output
For the theoretical density, the calculation gives 4.83 g cm⁻³. As for the symmetry: P4/mmm, No. 123. Its total energy is -6.59 eV/atom.